[1]
# Ho2In2Rh3

Ho2In2Rh3 after structural relaxation (PBE, Alexandria via LeMat-Bulk).

abc: 8.1947 4.7396 7.8454
angles: 90.00 110.36 90.00
Fractional coordinates of all 14 atoms:
Ho1 0.1170 0.0000 0.3509
Ho2 0.3830 0.5000 0.6491
Ho3 0.6170 0.5000 0.3509
Ho4 0.8830 0.0000 0.6491
In1 0.1279 0.5000 0.8850
In2 0.3721 0.0000 0.1150
In3 0.6279 0.0000 0.8850
In4 0.8721 0.5000 0.1150
Rh1 0.0000 0.5000 0.5000
Rh2 0.2485 0.0000 0.7442
Rh3 0.2515 0.5000 0.2558
Rh4 0.5000 0.0000 0.5000
Rh5 0.7485 0.5000 0.7442
Rh6 0.7515 0.0000 0.2558

Properties
- Symmetry: No. 12
- Crystal system: monoclinic
- Density: 10.09 Mg/m³
- ΔE_f: -0.70 eV/atom

---

[2]
# BaMn2Tc

BaMn2Tc after structural relaxation (PBE, Alexandria via LeMat-Bulk).

abc: 3.6536 4.3106 12.2603
angles: 90.00 90.00 90.00
Fractional coordinates of all 8 atoms:
Ba1 0.0000 0.0000 0.0000
Ba2 0.5000 0.5000 0.5000
Mn1 0.0000 0.0000 0.3419
Mn2 0.0000 0.5000 0.2483
Mn3 0.5000 0.0000 0.7483
Mn4 0.5000 0.5000 0.8419
Tc1 0.0000 0.5000 0.7427
Tc2 0.5000 0.0000 0.2427

Properties
- Symmetry: No. 44
- Energy above the lowest structure with this stoichiometry: 234 meV/atom
- Crystal system: orthorhombic
- Density: 5.94 Mg/m³
- ΔE_f: 0.71 eV/atom

---

[3]
# LaRhSe2

LaRhSe2 after structural relaxation (PBE, Alexandria via LeMat-Bulk).

abc: 4.3765 4.6941 5.0240
angles: 90.00 106.22 90.00
Fractional coordinates of all 4 atoms:
La1 0.0000 0.0000 0.0000
Rh1 0.4980 0.5000 0.3859
Se1 0.3668 0.5000 0.8521
Se2 0.6489 0.0000 0.4116

Properties
- Symmetry: No. 6
- Energy above the lowest structure with this stoichiometry: 0 meV/atom
- Energy relative to the elements, uncorrected: -440 kJ/mol of formula units
- Crystal system: monoclinic
- Density: 6.70 Mg/m³

---

[4]
# Li2PaBO6

Li2PaBO6 after structural relaxation (PBE, Alexandria via LeMat-Bulk).

abc: 4.5417 4.7083 6.3981
angles: 81.63 69.57 61.20
Fractional coordinates of all 10 atoms:
Li1 0.0000 0.0000 0.0000
Li2 0.2884 0.2710 0.1530
Pa1 0.8090 0.9807 0.5439
B1 0.5088 0.6332 0.2620
O1 0.1985 0.4487 0.6356
O2 0.2202 0.6938 0.2000
O3 0.4452 0.8923 0.3869
O4 0.6553 0.0306 0.8722
O5 0.8022 0.3353 0.2231
O6 0.8876 0.4641 0.6059

Properties
- Symmetry: No. 1
- Energy relative to the elements, uncorrected: -2276 kJ/mol of formula units
- Crystal system: triclinic
- Density: 5.20 Mg/m³

---

[5]
# NaSiB

NaSiB after structural relaxation (PBE, Alexandria via LeMat-Bulk).

abc: 9.1237 3.4291 6.3467
angles: 90.00 102.19 90.00
Fractional coordinates of all 12 atoms:
Na1 0.0000 0.0000 0.0000
Na2 0.1997 0.5000 0.7265
Na3 0.5000 0.5000 0.0000
Na4 0.6997 0.0000 0.7265
Si1 0.2576 0.5000 0.2575
Si2 0.3991 0.0000 0.5275
Si3 0.7576 0.0000 0.2575
Si4 0.8991 0.5000 0.5275
B1 0.1723 0.0000 0.3840
B2 0.4942 0.5000 0.4341
B3 0.6723 0.5000 0.3840
B4 0.9942 0.0000 0.4341

Properties
- Symmetry: No. 8
- Energy relative to the elements, uncorrected: 44 kJ/mol of formula units
- Crystal system: monoclinic
- Density: 2.12 Mg/m³

---

[6]
# YGa2RuAu

YGa2RuAu after structural relaxation (PBE, Alexandria via LeMat-Bulk).

abc: 5.4244 5.4244 4.8059
angles: 90.00 90.00 90.00
Fractional coordinates of all 5 atoms:
Y1 0.0000 0.0000 0.0000
Ga1 0.0000 0.5000 0.0000
Ga2 0.5000 0.0000 0.0000
Ru1 0.0000 0.0000 0.5000
Au1 0.5000 0.5000 0.5000

Properties
- Symmetry: No. 123
- Crystal system: tetragonal
- Density: 6.18 Mg/m³
- ΔE_f: 1.19 eV/atom

---

[7]
# KCuTc

KCuTc after structural relaxation (PBE, Alexandria via LeMat-Bulk).

abc: 6.6909 6.6909 6.6909
angles: 90.00 90.00 90.00
Fractional coordinates of all 12 atoms:
K1 0.0000 0.0000 0.0000
K2 0.0000 0.5000 0.5000
K3 0.5000 0.0000 0.5000
K4 0.5000 0.5000 0.0000
Cu1 0.2500 0.2500 0.2500
Cu2 0.2500 0.7500 0.7500
Cu3 0.7500 0.2500 0.7500
Cu4 0.7500 0.7500 0.2500
Tc1 0.0000 0.0000 0.5000
Tc2 0.0000 0.5000 0.0000
Tc3 0.5000 0.0000 0.0000
Tc4 0.5000 0.5000 0.5000

Properties
- Symmetry: No. 216
- Energy above the lowest structure with this stoichiometry: 807 meV/atom
- Crystal system: cubic
- Density: 4.45 Mg/m³
- ΔE_f: 1.65 eV/atom

---

[8]
# RbTlInF3

RbTlInF3 after structural relaxation (PBE, Alexandria via LeMat-Bulk).

abc: 8.3961 3.8586 9.0420
angles: 90.00 95.91 90.00
Fractional coordinates of all 12 atoms:
Rb1 0.1200 0.2500 0.3502
Rb2 0.8800 0.7500 0.6498
Tl1 0.4304 0.7500 0.6810
Tl2 0.5696 0.2500 0.3190
In1 0.1915 0.2500 0.9360
In2 0.8085 0.7500 0.0640
F1 0.0823 0.7500 0.0955
F2 0.1393 0.2500 0.6680
F3 0.3722 0.7500 0.4051
F4 0.6278 0.2500 0.5949
F5 0.8607 0.7500 0.3320
F6 0.9177 0.2500 0.9045

Properties
- Symmetry: No. 11
- Energy relative to the elements, uncorrected: -1173 kJ/mol of formula units
- Crystal system: monoclinic
- Density: 5.26 Mg/m³

---

[9]
# ZnRe2W

ZnRe2W after structural relaxation (PBE, Alexandria via LeMat-Bulk).

abc: 3.2036 3.2036 5.8462
angles: 90.00 90.00 90.00
Fractional coordinates of all 4 atoms:
Zn1 0.0000 0.0000 0.0000
Re1 0.5000 0.5000 0.2427
Re2 0.5000 0.5000 0.7573
W1 0.0000 0.0000 0.5000

Properties
- Symmetry: No. 123
- Crystal system: tetragonal
- Density: 17.21 Mg/m³
- ΔE_f: 0.21 eV/atom

---

[10]
# Li2Ir2O7

Li2Ir2O7 after structural relaxation (PBE, Alexandria via LeMat-Bulk).

abc: 5.4346 5.9399 6.4894
angles: 67.13 75.43 69.87
Fractional coordinates of all 11 atoms:
Li1 0.0000 0.0000 0.0000
Li2 0.0258 0.4390 0.6389
Ir1 0.3843 0.3837 0.0255
Ir2 0.3973 0.8715 0.5335
O1 0.1193 0.0567 0.6658
O2 0.1767 0.6364 0.1269
O3 0.2461 0.1450 0.0361
O4 0.2727 0.5696 0.7166
O5 0.4882 0.1736 0.3264
O6 0.7145 0.6759 0.4793
O7 0.7295 0.3453 0.9139

Properties
- Symmetry: No. 1
- Energy above the lowest structure with this stoichiometry: 0 meV/atom
- Energy relative to the elements, uncorrected: -908 kJ/mol of formula units
- Crystal system: triclinic
- Density: 4.72 Mg/m³

---

[11]
# Ba2Ac2Pt3

Ba2Ac2Pt3 after structural relaxation (PBE, Alexandria via LeMat-Bulk).

abc: 14.6839 4.4428 7.9902
angles: 90.00 99.63 90.00
Fractional coordinates of all 14 atoms:
Ba1 0.1333 0.0000 0.3647
Ba2 0.3667 0.5000 0.6353
Ba3 0.6333 0.5000 0.3647
Ba4 0.8667 0.0000 0.6353
Ac1 0.1304 0.5000 0.9084
Ac2 0.3696 0.0000 0.0916
Ac3 0.6304 0.0000 0.9084
Ac4 0.8696 0.5000 0.0916
Pt1 0.0000 0.0000 0.0000
Pt2 0.2358 0.0000 0.7603
Pt3 0.2642 0.5000 0.2397
Pt4 0.5000 0.5000 0.0000
Pt5 0.7358 0.5000 0.7603
Pt6 0.7642 0.0000 0.2397

Properties
- Symmetry: No. 12
- Crystal system: monoclinic
- Density: 8.49 Mg/m³
- ΔE_f: -0.92 eV/atom

---

[12]
# La2MgScOs

La2MgScOs after structural relaxation (PBE, Alexandria via LeMat-Bulk).

abc: 5.6173 5.6173 5.1283
angles: 90.00 90.00 90.00
Fractional coordinates of all 5 atoms:
La1 0.0000 0.5000 0.0000
La2 0.5000 0.0000 0.0000
Mg1 0.0000 0.0000 0.5000
Sc1 0.5000 0.5000 0.5000
Os1 0.5000 0.5000 0.0000

Properties
- Symmetry: No. 123
- Crystal system: tetragonal
- Density: 5.51 Mg/m³
- ΔE_f: -0.05 eV/atom

---

Repeat the tenth record exactly.
# Li2Ir2O7

Li2Ir2O7 after structural relaxation (PBE, Alexandria via LeMat-Bulk).

abc: 5.4346 5.9399 6.4894
angles: 67.13 75.43 69.87
Fractional coordinates of all 11 atoms:
Li1 0.0000 0.0000 0.0000
Li2 0.0258 0.4390 0.6389
Ir1 0.3843 0.3837 0.0255
Ir2 0.3973 0.8715 0.5335
O1 0.1193 0.0567 0.6658
O2 0.1767 0.6364 0.1269
O3 0.2461 0.1450 0.0361
O4 0.2727 0.5696 0.7166
O5 0.4882 0.1736 0.3264
O6 0.7145 0.6759 0.4793
O7 0.7295 0.3453 0.9139

Properties
- Symmetry: No. 1
- Energy above the lowest structure with this stoichiometry: 0 meV/atom
- Energy relative to the elements, uncorrected: -908 kJ/mol of formula units
- Crystal system: triclinic
- Density: 4.72 Mg/m³

---

Question: What is the density in the sixth record?
Answer: 6.18 Mg/m³